Entry 1:
Here is a geometry-optimized DyErMg structure from OQMD. Energies are from PBE-GGA.

M_tot	0.0	μB per cell
energy	-0.13322	hartree per atom
crystal system	orthorhombic
E above lowest polymorph	4.4	meV per atom

a b c (Å): 8.763 8.763 5.436
angles (deg): 90.00 90.00 156.02
Sites, in units of the cell vectors:
1 Dy 0.226 0.774 0.750
2 Dy 0.774 0.226 0.250
3 Er 0.094 0.906 0.250
4 Er 0.906 0.094 0.750
5 Mg 0.435 0.565 0.250
6 Mg 0.565 0.435 0.750



Entry 2:
Here is a geometry-optimized DyEr2Mg5 structure from OQMD. Energies are from PBE-GGA.

M_tot	0.0	μB per cell
energy	-0.10052	hartree per atom
crystal system	orthorhombic

a b c (Å): 5.169 6.480 6.480
angles (deg): 72.41 90.00 90.00
Sites, in units of the cell vectors:
1 Dy 0.000 0.000 0.000
2 Er 0.000 0.488 0.488
3 Er 0.500 0.743 0.743
4 Mg 0.000 0.489 0.999
5 Mg 0.000 0.999 0.489
6 Mg 0.500 0.244 0.244
7 Mg 0.500 0.244 0.743
8 Mg 0.500 0.743 0.244



Entry 3:
Here is a geometry-optimized DyErMg2 structure from OQMD. Energies are from PBE-GGA.

M_tot	0.3	μB per cell
energy	-0.11520	hartree per atom
crystal system	orthorhombic
E above lowest polymorph	0.6	meV per atom

a b c (Å): 6.536 6.536 5.334
angles (deg): 90.00 90.00 109.51
Sites, in units of the cell vectors:
1 Dy 0.129 0.871 0.750
2 Dy 0.871 0.129 0.250
3 Er 0.373 0.627 0.250
4 Er 0.627 0.373 0.750
5 Mg 0.129 0.372 0.750
6 Mg 0.372 0.129 0.250
7 Mg 0.628 0.871 0.750
8 Mg 0.871 0.628 0.250



Entry 4:
Here is a geometry-optimized DyErMg6 structure from OQMD. Energies are from PBE-GGA.

M_tot	0.0	μB per cell
energy	-0.08706	hartree per atom
crystal system	tetragonal
E above lowest polymorph	0.0	meV per atom

a b c (Å): 5.159 5.159 7.302
angles (deg): 90.00 90.00 90.00
Sites, in units of the cell vectors:
1 Dy 0.000 0.000 0.000
2 Er 0.500 0.500 0.500
3 Mg 0.000 0.000 0.500
4 Mg 0.000 0.500 0.251
5 Mg 0.000 0.500 0.749
6 Mg 0.500 0.000 0.251
7 Mg 0.500 0.000 0.749
8 Mg 0.500 0.500 0.000